VASP calculation (PBE) on Si3Ag2Pb2 after structural relaxation.

Cell lengths 8.839, 8.839, 8.839 Å; angles 30.30, 30.30, 30.30 degrees
Fractional positions:
Si  0.000  0.000  0.000
Si  0.216  0.216  0.216
Si  0.711  0.711  0.711
Ag  0.346  0.346  0.346
Ag  0.837  0.837  0.837
Pb  0.109  0.109  0.109
Pb  0.589  0.589  0.589

Summary:
For the uncorrected energy, the calculation gives -3.729 eV per atom. Its space group is R3m. Its volume is 22.251 Å³/atom.